No. 1
DyHgBi PBE-GGA optimized geometry; DFT formation energy = -9.547 kcal/mol of atoms; ΔE to the lowest computed polymorph = 21 meV/atom
1.0
5.183 0.000 0.000
2.592 4.489 0.000
2.592 1.496 4.232
Dy Bi Hg
1 1 1
Cartesian
2.592 1.496 1.058
0.000 0.000 0.000
5.183 2.993 2.116

=====

No. 2
AlCdSe PBE-GGA optimized geometry; uncorrected formation energy = 0.27 eV per formula unit; D(E_F) = 0.6942 states/eV/atom; ΔE to the lowest computed polymorph = 392 meV/atom
1.0
-4.454 1.454 -0.340
-3.286 -1.817 2.822
-1.881 2.626 3.411
Al Se Cd
1 1 1
Cartesian
-7.216 1.697 4.420
-4.811 1.131 2.947
0.000 0.000 0.000

=====

No. 3
ZrTl2Pt PBE-GGA optimized geometry; DFT formation energy = -3.129 kcal/mol of atoms; D(E_F) = 0.3438 states/eV/atom; ΔE to the lowest computed polymorph = 144 meV/atom
1.0
-3.630 2.450 -0.200
-1.950 -3.087 -2.427
-1.515 -1.944 3.689
Pt Tl Zr
1 2 1
Cartesian
-1.732 -2.515 0.631
0.000 0.000 0.000
-2.790 -0.318 -1.314
-2.573 0.253 1.744

=====

No. 4
CeNd2SmS4 PBE-GGA optimized geometry; uncorrected formation energy = -16.28 eV per formula unit; D(E_F) = 0.9258 states/eV/atom
1.0
8.084 0.006 -0.023
0.000 8.084 -0.023
-4.018 -4.021 5.742
Ce Nd Sm S
2 4 2 8
Cartesian
2.033 2.035 2.848
4.066 -4.015 5.719
4.042 0.003 -0.011
2.033 -2.008 2.859
-2.009 -2.010 2.871
4.042 4.045 -0.023
0.000 4.042 -0.011
6.075 2.037 2.836
-2.025 2.042 5.698
4.055 0.043 2.868
0.011 4.026 2.827
6.091 2.027 -0.002
2.071 2.043 5.691
4.057 4.031 2.853
0.009 0.038 2.843
1.995 2.026 0.005

=====

No. 5
Y3ScI PBE-GGA optimized geometry; uncorrected formation energy = 1.21 eV per formula unit; D(E_F) = 2.1090 states/eV/atom; ΔE to the lowest computed polymorph = 0 meV/atom
1.0
5.619 0.000 0.000
0.000 5.619 0.000
0.000 0.000 5.619
I Y Sc
1 3 1
Cartesian
0.000 0.000 0.000
0.000 2.809 0.000
0.000 0.000 2.809
2.809 0.000 0.000
2.809 2.809 2.809

=====

No. 6
KNbRuS3 PBE-GGA optimized geometry; uncorrected formation energy = -5.46 eV per formula unit; D(E_F) = 0.2715 states/eV/atom
1.0
3.546 0.000 0.000
0.000 8.443 0.241
0.000 -3.822 8.617
K Nb Ru S
2 2 2 6
Cartesian
0.886 1.027 2.241
2.659 3.593 6.617
0.886 5.278 1.530
2.659 -0.657 7.328
0.886 -1.649 5.346
2.659 6.270 3.511
2.659 7.007 1.287
0.886 -2.386 7.571
0.886 4.878 3.982
2.659 -0.257 4.876
2.659 3.415 1.297
0.886 1.206 7.561

=====

No. 7
CaCu2Rh PBE-GGA optimized geometry; DFT formation energy = 2.154 kcal/mol of atoms; D(E_F) = 0.4376 states/eV/atom; ΔE to the lowest computed polymorph = 242 meV/atom
1.0
-3.861 -0.466 -7.564
-1.714 -0.184 9.467
-0.727 6.204 -0.011
Ca Cu Rh
4 8 4
Cartesian
-4.804 3.876 -5.205
-3.362 0.871 3.316
-1.499 1.678 7.097
-2.941 4.683 -1.424
0.000 0.000 0.000
-3.152 2.777 0.946
-3.570 5.008 5.355
-2.733 0.546 -3.463
-4.116 4.936 1.263
-2.187 0.617 0.629
-0.857 -0.092 4.734
-2.294 2.869 -3.787
-3.696 3.722 3.311
-2.607 1.832 -1.419
-0.576 1.211 2.365
-5.727 4.343 -0.472

=====

No. 8
K4Pu3PaO12 PBE-GGA optimized geometry; uncorrected formation energy = -54.15 eV per formula unit; D(E_F) = 0.8280 states/eV/atom
1.0
-5.307 2.996 -4.305
-3.082 -2.684 6.243
5.024 5.230 1.756
K Pu Pa O
4 3 1 12
Cartesian
-1.683 2.771 1.847
2.512 2.615 0.878
-2.654 1.498 -2.153
-1.541 -1.342 3.121
-0.141 4.113 -1.275
-4.195 0.156 0.969
0.971 1.273 4.000
0.000 0.000 0.000
0.900 3.329 3.362
-0.212 6.152 -1.907
-0.071 2.073 -0.643
-4.266 2.212 0.331
-6.275 0.233 1.449
-2.115 0.079 0.488
-2.239 4.191 -0.790
-1.126 1.351 4.484
0.344 4.749 0.725
1.453 1.904 5.983
-3.709 0.792 2.969
0.490 0.642 2.016

=====

No. 9
Ca2ZrSiN PBE-GGA optimized geometry; uncorrected formation energy = 4.68 eV per formula unit; D(E_F) = 0.7368 states/eV/atom
1.0
5.345 0.000 0.000
0.000 5.028 0.000
0.000 0.000 5.345
Ca Si Zr N
2 1 1 1
Cartesian
0.000 0.000 2.673
2.673 0.000 0.000
0.000 0.000 0.000
0.000 2.514 0.000
2.673 2.514 2.673

=====

No. 10
TiMn2BeIn PBE-GGA optimized geometry; DFT formation energy = 10.434 kcal/mol of atoms; D(E_F) = 0.5326 states/eV/atom
1.0
4.153 0.000 0.000
0.000 4.349 0.000
0.000 0.000 4.153
Be Mn Ti In
1 2 1 1
Cartesian
0.000 0.000 0.000
0.000 0.000 2.077
2.077 0.000 0.000
2.077 2.174 2.077
0.000 2.174 0.000

=====

No. 11
CdGeP2O PBE-GGA optimized geometry; uncorrected formation energy = 4.47 eV per formula unit; D(E_F) = 1.2780 states/eV/atom; ΔE to the lowest computed polymorph = 684 meV/atom
1.0
-0.258 0.186 5.043
5.023 -0.467 0.275
0.379 4.002 -0.128
P Ge O Cd
2 1 1 1
Cartesian
2.512 -0.234 0.137
-0.129 0.093 2.521
2.572 1.860 2.595
0.190 2.001 -0.064
0.000 0.000 0.000

=====

No. 12
Sm7Si2Pd2 PBE-GGA optimized geometry; uncorrected formation energy = -3.39 eV per formula unit; D(E_F) = 1.0456 states/eV/atom
1.0
-4.259 4.636 -2.532
-4.913 -4.973 -0.840
-0.829 -0.318 6.727
Sm Si Pd
7 2 2
Cartesian
-6.025 3.107 0.603
-6.521 -1.603 4.850
-3.976 -3.763 2.752
-3.480 0.948 -1.495
0.000 0.000 0.000
-6.175 -1.515 1.474
-3.826 0.860 1.880
-6.741 1.149 3.113
-3.260 -1.805 0.242
-8.182 -1.766 -0.702
-1.819 1.110 4.057

=====

No. 13
Cd3BOs PBE-GGA optimized geometry; DFT formation energy = 39.219 kcal/mol of atoms; D(E_F) = 0.5912 states/eV/atom; ΔE to the lowest computed polymorph = 467 meV/atom
1.0
-2.254 -3.572 -3.012
2.740 -3.719 2.361
-3.785 -0.565 3.503
B Os Cd
1 1 3
Cartesian
-1.649 -3.928 1.426
0.000 0.000 0.000
1.370 -1.859 1.180
-1.892 -0.283 1.751
-1.127 -1.786 -1.506

=====

No. 14
BeV2Ga PBE-GGA optimized geometry; DFT formation energy = -0.676 kcal/mol of atoms; D(E_F) = 0.9757 states/eV/atom; ΔE to the lowest computed polymorph = 128 meV/atom
1.0
-2.747 0.290 -1.486
0.564 -2.661 -1.562
-2.282 -2.656 3.699
Be Ga V
1 1 2
Cartesian
-1.091 -1.185 -1.524
-2.232 -2.513 0.326
-1.785 -2.077 2.892
-0.498 -0.579 0.807

=====

No. 15
ZnFeOs PBE-GGA optimized geometry; DFT formation energy = 5.281 kcal/mol of atoms; D(E_F) = 0.9786 states/eV/atom; ΔE to the lowest computed polymorph = 162 meV/atom
1.0
-5.784 -3.646 0.533
-3.870 -5.214 1.420
-1.407 1.169 1.888
Fe Os Zn
1 1 1
Cartesian
-9.649 -8.854 1.953
-4.200 -2.228 1.910
-6.866 -5.469 1.931

=====

No. 16
Sr2CeMg PBE-GGA optimized geometry; DFT formation energy = 8.284 kcal/mol of atoms; D(E_F) = 2.1215 states/eV/atom
1.0
3.734 0.000 0.000
1.867 3.234 0.000
1.867 1.078 13.051
Sr Mg Ce
2 1 1
Cartesian
1.867 1.078 9.444
5.602 3.234 3.607
3.734 2.156 6.525
0.000 0.000 0.000

=====

No. 17
Cs2RbPuO6 PBE-GGA optimized geometry; uncorrected formation energy = -18.12 eV per formula unit; D(E_F) = 1.3554 states/eV/atom
1.0
-4.778 -0.359 -4.764
-3.634 -5.650 -0.723
-6.502 -0.081 1.735
Cs Rb Pu O
2 1 1 6
Cartesian
-6.721 -3.428 -2.585
-5.770 -0.461 1.030
-10.452 -4.949 -3.521
-2.995 -1.904 -1.645
-4.637 -0.968 -2.123
-2.635 -0.581 -0.259
-3.980 -2.992 -0.362
-9.856 -3.308 -1.297
-8.511 -0.897 -1.194
-7.854 -2.922 0.567

=====

No. 18
NbZn2Tc PBE-GGA optimized geometry; DFT formation energy = 7.510 kcal/mol of atoms; D(E_F) = 0.7202 states/eV/atom; ΔE to the lowest computed polymorph = 168 meV/atom
1.0
-0.755 2.491 -2.631
-3.530 0.097 1.105
-0.003 8.493 5.440
Zn Nb Tc
4 2 2
Cartesian
-0.924 3.727 -0.183
-2.291 2.461 1.758
-1.560 7.339 3.492
-3.801 8.636 2.760
-2.142 1.294 -0.763
-2.838 4.942 2.891
0.000 0.000 0.000
-1.450 6.139 1.023

=====

No. 19
RbNbV2 PBE-GGA optimized geometry; DFT formation energy = 41.291 kcal/mol of atoms; D(E_F) = 1.8872 states/eV/atom; ΔE to the lowest computed polymorph = 156 meV/atom
1.0
-0.651 4.842 -2.636
-5.176 0.376 1.970
-0.128 6.559 6.234
Nb Rb V
2 2 4
Cartesian
0.000 0.000 0.000
-1.847 7.005 1.633
-2.914 2.609 -0.333
-4.109 4.772 3.935
-1.249 5.923 -0.501
-3.837 6.112 0.483
-0.988 6.782 3.933
-1.313 9.203 2.615

=====

No. 20
ReRuRh3 PBE-GGA optimized geometry; DFT formation energy = 4.920 kcal/mol of atoms; D(E_F) = 1.0243 states/eV/atom; ΔE to the lowest computed polymorph = 254 meV/atom
1.0
-2.598 -0.659 -0.354
1.761 -4.255 5.315
-1.988 4.004 7.133
Re Ru Rh
2 2 6
Cartesian
-1.798 2.921 7.750
-1.028 -3.831 4.344
-0.700 -1.485 7.895
-2.125 0.576 4.199
-2.278 -1.949 10.011
-0.548 1.039 2.083
-1.388 -1.514 2.683
-1.437 0.605 9.411
-1.723 -1.691 5.465
-1.102 0.782 6.628

=====

Ordered calculated density results: 9.6; 4.9; 13.5; 6.3; 4.1; 4.2; 5.8; 6.8; 2.5; 6.2; 4.3; 7.2; 6.4; 6.0; 12.7; 3.6; 5.3; 8.0; 3.7; 13.2; unit g/cm³.